No. 1
A geometry-optimized Np2PtSe structure. Source: the Alexandria database, functional GGA-PBE.

Cell and atoms, written as CIF:
```
data_Np2PtSe
_cell_length_a 3.9809
_cell_length_b 3.9809
_cell_length_c 21.4823
_cell_angle_alpha 90.00
_cell_angle_beta 90.00
_cell_angle_gamma 120.00
_symmetry_space_group_name_H-M 'R -3 m'
_symmetry_Int_Tables_number 166
_symmetry_space_group_name_Hall '-R 3 2"'
loop_
_atom_site_label
_atom_site_type_symbol
_atom_site_fract_x
_atom_site_fract_y
_atom_site_fract_z
_atom_site_occupancy
Np1 Np 0.0000 0.0000 0.2455 1
Pt1 Pt 0.0000 0.0000 0.5000 1
Se1 Se 0.0000 0.0000 0.0000 1
```

Values from the calculation:
crystal system = trigonal
total energy = -9.50 eV/atom
formation energy from raw total energies = -0.651 eV/atom

No. 2
A geometry-optimized NpTl3Pt2Se6 structure. Source: the Alexandria database, functional GGA-PBE.

Cell and atoms, written as CIF:
```
data_NpTl3Pt2Se6
_cell_length_a 6.490
_cell_length_b 11.224
_cell_length_c 8.749
_cell_angle_alpha 90.00
_cell_angle_beta 104.22
_cell_angle_gamma 90.00
_symmetry_space_group_name_H-M 'C 1 2/m 1'
_symmetry_Int_Tables_number 12
_symmetry_space_group_name_Hall '-C 2y'
loop_
_atom_site_label
_atom_site_type_symbol
_atom_site_fract_x
_atom_site_fract_y
_atom_site_fract_z
_atom_site_occupancy
Np1 Np 0.000 0.000 0.000 1
Tl1 Tl 0.000 0.165 0.500 1
Tl2 Tl 0.000 0.500 0.500 1
Pt1 Pt 0.000 0.333 0.000 1
Se1 Se 0.195 0.500 0.183 1
Se2 Se 0.244 0.183 0.183 1
```

Values from the calculation:
crystal system = monoclinic
total energy = -4.91 eV/atom
formation energy from raw total energies = -0.488 eV/atom